Record 1
Below is crystalline CuPtN at its relaxed geometry, with properties calculated at the PBE level.

abc: 3.795 3.795 6.452
angles: 90.00 90.00 90.00
Sites, in units of the cell vectors:
Cu 0.000 0.500 0.000
Cu 0.500 0.000 0.500
Pt 0.000 0.500 0.576
Pt 0.500 0.000 0.076
N 0.000 0.000 0.069
N 0.000 0.000 0.569

Properties
E_tot in hartree per atom: -0.2057
Formation energy without anion corrections in kcal/mol of atoms: 12.858


Record 2
Below is crystalline CuPtN at its relaxed geometry, with properties calculated at the PBE level.

abc: 5.323 5.323 5.323
angles: 32.50 32.50 32.50
Sites, in units of the cell vectors:
Cu 0.000 0.000 0.000
Pt 0.532 0.532 0.532
N 0.127 0.127 0.127

Properties
E_tot in hartree per atom: -0.2088
Formation energy without anion corrections in kcal/mol of atoms: 10.868


Record 3
Below is crystalline CuPtN3 at its relaxed geometry, with properties calculated at the PBE level.

abc: 3.724 3.724 3.724
angles: 90.00 90.00 90.00
Sites, in units of the cell vectors:
Cu 0.000 0.000 0.000
Pt 0.500 0.500 0.500
N 0.000 0.000 0.500
N 0.000 0.500 0.000
N 0.500 0.000 0.000

Properties
E_tot in hartree per atom: -0.1763
Formation energy without anion corrections in kcal/mol of atoms: 51.300


Record 4
Below is crystalline CuPtN2 at its relaxed geometry, with properties calculated at the PBE level.

abc: 3.827 3.827 3.827
angles: 60.00 60.00 60.00
Sites, in units of the cell vectors:
Cu 0.000 0.000 0.000
Pt 0.500 0.500 0.500
N 0.250 0.250 0.250
N 0.750 0.750 0.750

Properties
E_tot in hartree per atom: -0.1937
Formation energy without anion corrections in kcal/mol of atoms: 32.899


Record 5
Below is crystalline CuPtN at its relaxed geometry, with properties calculated at the PBE level.

abc: 2.879 4.205 4.205
angles: 54.89 90.00 90.00
Sites, in units of the cell vectors:
Cu 0.000 0.000 0.000
Pt 0.500 0.711 0.711
N 0.500 0.178 0.178

Properties
E_tot in hartree per atom: -0.2074
Formation energy without anion corrections in kcal/mol of atoms: 11.792


Record 6
Below is crystalline CuPtN2 at its relaxed geometry, with properties calculated at the PBE level.

abc: 5.652 5.652 5.652
angles: 131.86 131.86 70.46
Sites, in units of the cell vectors:
Cu 0.000 0.000 0.000
Cu 0.750 0.250 0.500
Pt 0.250 0.750 0.500
Pt 0.500 0.500 0.000
N 0.120 0.625 0.995
N 0.375 0.370 0.495
N 0.630 0.125 0.005
N 0.875 0.880 0.505

Properties
E_tot in hartree per atom: -0.2121
Formation energy without anion corrections in kcal/mol of atoms: 21.315


Record 7
Below is crystalline CuPtN3 at its relaxed geometry, with properties calculated at the PBE level.

abc: 3.896 3.896 3.896
angles: 90.00 90.00 90.00
Sites, in units of the cell vectors:
Cu 0.000 0.000 0.000
Pt 0.500 0.500 0.500
N 0.000 0.500 0.500
N 0.500 0.000 0.500
N 0.500 0.500 0.000

Properties
E_tot in hartree per atom: -0.1797
Formation energy without anion corrections in kcal/mol of atoms: 49.209


Record 8
Below is crystalline CuPtN at its relaxed geometry, with properties calculated at the PBE level.

abc: 2.768 2.919 4.614
angles: 90.00 90.00 90.00
Sites, in units of the cell vectors:
Cu 0.000 0.000 0.000
Pt 0.500 0.500 0.412
N 0.500 0.000 0.709

Properties
E_tot in hartree per atom: -0.2088
Formation energy without anion corrections in kcal/mol of atoms: 10.895


Record 9
Below is crystalline CuPtN at its relaxed geometry, with properties calculated at the PBE level.

abc: 6.414 6.414 3.822
angles: 90.13 90.13 34.07
Sites, in units of the cell vectors:
Cu 0.000 0.000 0.000
Cu 0.220 0.220 0.502
Pt 0.435 0.435 0.499
Pt 0.659 0.659 0.002
N 0.679 0.679 0.502
N 0.939 0.939 0.499

Properties
E_tot in hartree per atom: -0.2054
Formation energy without anion corrections in kcal/mol of atoms: 13.004


Record 10
Below is crystalline CuPtN at its relaxed geometry, with properties calculated at the PBE level.

abc: 6.862 6.862 6.862
angles: 147.97 147.97 45.93
Sites, in units of the cell vectors:
Cu 0.167 0.167 0.000
Cu 0.833 0.833 0.000
Pt 0.382 0.382 0.000
Pt 0.618 0.618 0.000
N 0.119 0.619 0.500
N 0.381 0.881 0.500

Properties
E_tot in hartree per atom: -0.2062
Formation energy without anion corrections in kcal/mol of atoms: 12.544


Record 11
Below is crystalline CuPt2N at its relaxed geometry, with properties calculated at the PBE level.

abc: 6.205 6.205 6.205
angles: 130.56 130.56 72.51
Sites, in units of the cell vectors:
Cu 0.000 0.000 0.000
Cu 0.750 0.250 0.500
Pt 0.219 0.625 0.094
Pt 0.375 0.469 0.594
Pt 0.531 0.125 0.906
Pt 0.875 0.781 0.406
N 0.250 0.750 0.500
N 0.500 0.500 0.000

Properties
E_tot in hartree per atom: -0.1984
Formation energy without anion corrections in kcal/mol of atoms: 16.748


Record 12
Below is crystalline Cu4PtN2 at its relaxed geometry, with properties calculated at the PBE level.

abc: 5.946 5.946 5.946
angles: 130.64 130.64 72.39
Sites, in units of the cell vectors:
Cu 0.000 0.500 0.500
Cu 0.250 0.250 0.000
Cu 0.500 0.000 0.500
Cu 0.750 0.750 0.000
Pt 0.000 0.000 0.000
N 0.439 0.439 0.000
N 0.561 0.561 0.000

Properties
E_tot in hartree per atom: -0.1713
Formation energy without anion corrections in kcal/mol of atoms: 21.214


Record 13
Below is crystalline CuPtN at its relaxed geometry, with properties calculated at the PBE level.

abc: 2.958 2.958 5.104
angles: 90.00 90.00 120.00
Sites, in units of the cell vectors:
Cu 0.000 0.000 0.000
Pt 0.333 0.667 0.590
N 0.000 0.000 0.373

Properties
E_tot in hartree per atom: -0.2067
Formation energy without anion corrections in kcal/mol of atoms: 12.195


Record 14
Below is crystalline CuPtN2 at its relaxed geometry, with properties calculated at the PBE level.

abc: 6.020 6.020 6.020
angles: 30.28 30.28 30.28
Sites, in units of the cell vectors:
Cu 0.000 0.000 0.000
Pt 0.500 0.500 0.500
N 0.107 0.107 0.107
N 0.893 0.893 0.893

Properties
E_tot in hartree per atom: -0.2186
Formation energy without anion corrections in kcal/mol of atoms: 17.233


Record 15
Below is crystalline CuPtS2N at its relaxed geometry, with properties calculated at the PBE level.

abc: 4.953 4.953 3.639
angles: 90.00 90.00 90.00
Sites, in units of the cell vectors:
Cu 0.000 0.000 0.000
Pt 0.500 0.500 0.500
S 0.000 0.500 0.500
S 0.500 0.000 0.500
N 0.500 0.500 0.000

Properties
E_tot in hartree per atom: -0.1628
Formation energy without anion corrections in kcal/mol of atoms: 21.058


Record 16
Below is crystalline CuPtS2N at its relaxed geometry, with properties calculated at the PBE level.

abc: 4.648 4.648 3.522
angles: 90.00 90.00 90.00
Sites, in units of the cell vectors:
Cu 0.000 0.000 0.000
Pt 0.500 0.500 0.500
S 0.000 0.500 0.000
S 0.500 0.000 0.000
N 0.000 0.000 0.500

Properties
E_tot in hartree per atom: -0.1530
Formation energy without anion corrections in kcal/mol of atoms: 27.192


Record 17
Below is crystalline CuSnPtN2 at its relaxed geometry, with properties calculated at the PBE level.

abc: 3.743 3.743 6.094
angles: 90.00 90.00 90.00
Sites, in units of the cell vectors:
Cu 0.000 0.000 0.000
Sn 0.000 0.000 0.500
Pt 0.500 0.500 0.500
N 0.000 0.500 0.000
N 0.500 0.000 0.000

Properties
E_tot in hartree per atom: -0.1744
Formation energy without anion corrections in kcal/mol of atoms: 32.598


Record 18
Below is crystalline TaCu2PtN at its relaxed geometry, with properties calculated at the PBE level.

abc: 4.564 4.564 4.837
angles: 90.00 90.00 90.00
Sites, in units of the cell vectors:
Ta 0.000 0.000 0.000
Cu 0.000 0.500 0.500
Cu 0.500 0.000 0.500
Pt 0.000 0.000 0.500
N 0.500 0.500 0.000

Properties
E_tot in hartree per atom: -0.1827
Formation energy without anion corrections in kcal/mol of atoms: 44.077


Record 19
Below is crystalline CuTc2PtN at its relaxed geometry, with properties calculated at the PBE level.

abc: 4.610 4.610 4.524
angles: 90.00 90.00 90.00
Sites, in units of the cell vectors:
Cu 0.000 0.000 0.000
Tc 0.000 0.500 0.000
Tc 0.500 0.000 0.000
Pt 0.000 0.000 0.500
N 0.500 0.500 0.500

Properties
E_tot in hartree per atom: -0.1931
Formation energy without anion corrections in kcal/mol of atoms: 59.578


Record 20
Below is crystalline CuTePtN2 at its relaxed geometry, with properties calculated at the PBE level.

abc: 3.748 3.748 7.536
angles: 90.00 90.00 90.00
Sites, in units of the cell vectors:
Cu 0.000 0.000 0.000
Te 0.500 0.500 0.000
Pt 0.500 0.500 0.500
N 0.000 0.500 0.500
N 0.500 0.000 0.500

Properties
E_tot in hartree per atom: -0.1783
Formation energy without anion corrections in kcal/mol of atoms: 26.132